No. 1
The following is a PBE calculation of a relaxed La5AgRh2 crystal, from the Alexandria database.

Cell: 9.0927 9.0927 9.0927 Å, 127.48 127.48 77.48°
Atoms (fractional coordinates):
La: 0.0000 0.0000 0.0000
La: 0.0281 0.5281 0.8241
La: 0.2041 0.0281 0.5000
La: 0.2959 0.7959 0.8241
La: 0.4719 0.2959 0.5000
La: 0.5000 0.5000 0.0000
La: 0.5281 0.7041 0.5000
La: 0.7041 0.2041 0.1759
La: 0.7959 0.9719 0.5000
La: 0.9719 0.4719 0.1759
Ag: 0.2500 0.2500 0.0000
Ag: 0.7500 0.7500 0.0000
Rh: 0.1389 0.3611 0.5000
Rh: 0.3611 0.8611 0.2223
Rh: 0.6389 0.1389 0.7777
Rh: 0.8611 0.6389 0.5000

## Properties
Its formation energy is -0.4952 eV per atom. Its symmetry is I4/mcm, No. 140.



No. 2
The following is a PBE calculation of a relaxed Pd2PtRhSe6 crystal, from the Alexandria database.

Cell: 8.7254 8.7254 6.4327 Å, 107.98 107.98 101.70°
Atoms (fractional coordinates):
Pd: 0.1001 0.1494 0.4667
Pd: 0.1494 0.1001 0.9667
Pd: 0.8506 0.8999 0.0333
Pd: 0.8999 0.8506 0.5333
Pt: 0.2883 0.7117 0.7500
Pt: 0.7117 0.2883 0.2500
Rh: 0.4314 0.5686 0.2500
Rh: 0.5686 0.4314 0.7500
Se: 0.0152 0.7391 0.8332
Se: 0.1585 0.5701 0.3032
Se: 0.2609 0.9848 0.6668
Se: 0.2976 0.4352 0.7993
Se: 0.4299 0.8415 0.1968
Se: 0.4352 0.2976 0.2993
Se: 0.5648 0.7024 0.7007
Se: 0.5701 0.1585 0.8032
Se: 0.7024 0.5648 0.2007
Se: 0.7391 0.0152 0.3332
Se: 0.8415 0.4299 0.6968
Se: 0.9848 0.2609 0.1668

## Properties
The formation energy from raw total energies is -0.265 eV per atom. Its symmetry is C2/c, No. 15.



No. 3
The following is a PBE calculation of a relaxed Cs2ScSF6 crystal, from the Alexandria database.

Cell: 6.9860 6.9860 6.9860 Å, 128.49 128.49 75.83°
Atoms (fractional coordinates):
Cs: 0.2500 0.7500 0.5000
Cs: 0.7500 0.2500 0.5000
Sc: 0.0000 0.0000 0.0000
S: 0.5000 0.5000 0.0000
F: 0.1823 0.1823 0.0000
F: 0.2390 0.2390 0.4781
F: 0.2390 0.7610 0.0000
F: 0.7610 0.2390 0.0000
F: 0.7610 0.7610 0.5219
F: 0.8177 0.8177 0.0000

## Properties
The formation energy from raw total energies is -2.617 eV per atom. Its symmetry is I4/mmm, No. 139.



No. 4
The following is a PBE calculation of a relaxed K2LiCdAu crystal, from the Alexandria database.

Cell: 6.3452 6.3452 5.0317 Å, 90.00 90.00 90.00°
Atoms (fractional coordinates):
K: 0.0000 0.5000 0.0000
K: 0.5000 0.0000 0.0000
Li: 0.0000 0.0000 0.5000
Cd: 0.5000 0.5000 0.5000
Au: 0.0000 0.0000 0.0000

## Properties
Its formation energy is -0.0479 eV per atom. Its symmetry is P4/mmm, No. 123.



No. 5
The following is a PBE calculation of a relaxed Ti2Mn2Ge crystal, from the Alexandria database.

Cell: 6.0625 6.0625 3.9099 Å, 90.00 90.00 90.00°
Atoms (fractional coordinates):
Ti: 0.1826 0.3174 0.0000
Ti: 0.3174 0.8174 0.0000
Ti: 0.6826 0.1826 0.0000
Ti: 0.8174 0.6826 0.0000
Mn: 0.1193 0.6193 0.5000
Mn: 0.3807 0.1193 0.5000
Mn: 0.6193 0.8807 0.5000
Mn: 0.8807 0.3807 0.5000
Ge: 0.0000 0.0000 0.5000
Ge: 0.5000 0.5000 0.5000

## Properties
Its formation energy is -0.1631 eV per atom. Its symmetry is P4/mbm, No. 127.



No. 6
The following is a PBE calculation of a relaxed MnSe crystal, from the Alexandria database.

Cell: 3.6595 3.6595 6.7731 Å, 90.00 90.00 120.00°
Atoms (fractional coordinates):
Mn: 0.3333 0.6667 0.2500
Mn: 0.6667 0.3333 0.7500
Se: 0.0000 0.0000 0.0000
Se: 0.0000 0.0000 0.5000

## Properties
The formation energy from raw total energies is -0.187 eV per atom. Its symmetry is P6_3/mmc, No. 194.



No. 7
The following is a PBE calculation of a relaxed NaSiB crystal, from the Alexandria database.

Cell: 5.1580 11.7003 3.7699 Å, 90.00 90.00 90.00°
Atoms (fractional coordinates):
Na: 0.0000 0.1782 0.2500
Na: 0.0000 0.8218 0.7500
Na: 0.5000 0.3218 0.7500
Na: 0.5000 0.6782 0.2500
Si: 0.0000 0.4321 0.2500
Si: 0.0000 0.5679 0.7500
Si: 0.5000 0.0679 0.7500
Si: 0.5000 0.9321 0.2500
B: 0.0000 0.3915 0.7500
B: 0.0000 0.6085 0.2500
B: 0.5000 0.1085 0.2500
B: 0.5000 0.8915 0.7500

## Properties
The formation energy from raw total energies is 0.390 eV per atom. Its symmetry is Cmcm, No. 63.



No. 8
The following is a PBE calculation of a relaxed Cd2Ag2Pt2Au crystal, from the Alexandria database.

Cell: 9.2166 4.1486 6.5735 Å, 90.00 98.08 90.00°
Atoms (fractional coordinates):
Cd: 0.0769 0.0000 0.2084
Cd: 0.4231 0.5000 0.7916
Cd: 0.5769 0.5000 0.2084
Cd: 0.9231 0.0000 0.7916
Ag: 0.2132 0.0000 0.6495
Ag: 0.2868 0.5000 0.3505
Ag: 0.7132 0.5000 0.6495
Ag: 0.7868 0.0000 0.3505
Pt: 0.1396 0.5000 0.9236
Pt: 0.3604 0.0000 0.0764
Pt: 0.6396 0.0000 0.9236
Pt: 0.8604 0.5000 0.0764
Au: 0.0000 0.5000 0.5000
Au: 0.5000 0.0000 0.5000

## Properties
Its formation energy is -0.1357 eV per atom. Its symmetry is C2/m, No. 12.



No. 9
The following is a PBE calculation of a relaxed Sm2Tl crystal, from the Alexandria database.

Cell: 5.5231 5.5231 6.8546 Å, 90.00 90.00 120.00°
Atoms (fractional coordinates):
Sm: 0.0000 0.0000 0.0000
Sm: 0.0000 0.0000 0.5000
Sm: 0.3333 0.6667 0.2500
Sm: 0.6667 0.3333 0.7500
Tl: 0.3333 0.6667 0.7500
Tl: 0.6667 0.3333 0.2500

## Properties
Its formation energy is -0.2640 eV per atom. Its symmetry is P6_3/mmc, No. 194.



No. 10
The following is a PBE calculation of a relaxed RbPH2 crystal, from the Alexandria database.

Cell: 7.1899 7.3368 7.1672 Å, 90.00 104.15 90.00°
Atoms (fractional coordinates):
Rb: 0.0000 0.2287 0.2500
Rb: 0.0000 0.7713 0.7500
Rb: 0.5000 0.2713 0.7500
Rb: 0.5000 0.7287 0.2500
P: 0.0000 0.2463 0.7500
P: 0.0000 0.7537 0.2500
P: 0.5000 0.2537 0.2500
P: 0.5000 0.7463 0.7500
H: 0.1162 0.3816 0.8694
H: 0.1162 0.6184 0.3694
H: 0.3838 0.1184 0.1306
H: 0.3838 0.8816 0.6306
H: 0.6162 0.1184 0.3694
H: 0.6162 0.8816 0.8694
H: 0.8838 0.3816 0.6306
H: 0.8838 0.6184 0.1306

## Properties
The offset from the most stable computed form is 0 meV per atom. Its symmetry is C2/c, No. 15.



No. 11
The following is a PBE calculation of a relaxed Li6PS5I crystal, from the Alexandria database.

Cell: 7.2671 7.2671 12.3484 Å, 106.65 106.65 60.09°
Atoms (fractional coordinates):
Li: 0.0100 0.9900 0.5000
Li: 0.0214 0.3876 0.5112
Li: 0.1449 0.2379 0.7643
Li: 0.1679 0.6682 0.1727
Li: 0.2379 0.1449 0.2643
Li: 0.3876 0.0214 0.0112
Li: 0.5103 0.5311 0.5009
Li: 0.5311 0.5103 0.0009
Li: 0.6311 0.7547 0.2671
Li: 0.6682 0.1679 0.6727
Li: 0.7547 0.6311 0.7671
Li: 0.9900 0.0100 0.0000
P: 0.2108 0.7017 0.7398
P: 0.7017 0.2108 0.2398
S: 0.1638 0.6455 0.5631
S: 0.3275 0.8382 0.1168
S: 0.3836 0.4108 0.7969
S: 0.3871 0.8734 0.8029
S: 0.4108 0.3836 0.2969
S: 0.6455 0.1638 0.0631
S: 0.8382 0.3275 0.6168
S: 0.8734 0.3871 0.3029
S: 0.8762 0.9163 0.2933
S: 0.9163 0.8762 0.7933
I: 0.4323 0.9674 0.4823
I: 0.9674 0.4323 0.9823

## Properties
The formation energy from raw total energies is -1.071 eV per atom. The offset from the most stable computed form is 0 meV per atom. Its symmetry is Cc, No. 9.



No. 12
The following is a PBE calculation of a relaxed Tb3DyY2Ho6 crystal, from the Alexandria database.

Cell: 6.1339 6.1339 11.7392 Å, 94.98 94.98 119.94°
Atoms (fractional coordinates):
Tb: 0.0000 0.0000 0.0000
Tb: 0.3333 0.6667 0.0000
Tb: 0.6667 0.3333 0.0000
Dy: 0.5000 0.5000 0.5000
Y: 0.1667 0.8333 0.5000
Y: 0.8333 0.1667 0.5000
Ho: 0.0836 0.4162 0.2497
Ho: 0.2511 0.2511 0.7502
Ho: 0.4162 0.0836 0.2497
Ho: 0.5838 0.9164 0.7503
Ho: 0.7489 0.7489 0.2498
Ho: 0.9164 0.5838 0.7503

## Properties
Its formation energy is 0.0189 eV per atom. Its symmetry is C2/m, No. 12.



No. 13
The following is a PBE calculation of a relaxed TlGe2BrF crystal, from the Alexandria database.

Cell: 4.5873 4.5873 6.4808 Å, 90.00 90.00 90.00°
Atoms (fractional coordinates):
Tl: 0.0000 0.0000 0.0000
Ge: 0.0000 0.5000 0.5000
Ge: 0.5000 0.0000 0.5000
Br: 0.5000 0.5000 0.0000
F: 0.0000 0.0000 0.5000

## Properties
The formation energy from raw total energies is -0.191 eV per atom. Its symmetry is P4/mmm, No. 123.



No. 14
The following is a PBE calculation of a relaxed CsCrPdS2 crystal, from the Alexandria database.

Cell: 7.8374 7.8374 5.5384 Å, 90.00 90.00 138.11°
Atoms (fractional coordinates):
Cs: 0.2500 0.7500 0.7793
Cs: 0.7500 0.2500 0.2207
Cr: 0.2500 0.2500 0.5000
Cr: 0.7500 0.7500 0.5000
Pd: 0.0000 0.0000 0.0000
Pd: 0.5000 0.5000 0.0000
S: 0.0997 0.9003 0.3230
S: 0.4003 0.5997 0.3230
S: 0.5997 0.4003 0.6770
S: 0.9003 0.0997 0.6770

## Properties
The formation energy from raw total energies is -0.729 eV per atom. Its symmetry is Cmme, No. 67.



No. 15
The following is a PBE calculation of a relaxed LaPmPaN3 crystal, from the Alexandria database.

Cell: 6.5398 3.4946 10.4307 Å, 90.00 90.03 90.00°
Atoms (fractional coordinates):
La: 0.1761 0.2500 0.2289
La: 0.8239 0.7500 0.7711
Pm: 0.3421 0.7500 0.8910
Pm: 0.6579 0.2500 0.1090
Pa: 0.2063 0.2500 0.5784
Pa: 0.7937 0.7500 0.4216
N: 0.1381 0.2500 0.7767
N: 0.1462 0.7500 0.4419
N: 0.3812 0.7500 0.1171
N: 0.6188 0.2500 0.8829
N: 0.8538 0.2500 0.5581
N: 0.8619 0.7500 0.2233

## Properties
The formation energy from raw total energies is -1.227 eV per atom. Its symmetry is P2_1/m, No. 11.



No. 16
The following is a PBE calculation of a relaxed CeEuTlSn crystal, from the Alexandria database.

Cell: 7.8319 7.8319 7.8319 Å, 90.00 90.00 90.00°
Atoms (fractional coordinates):
Ce: 0.0000 0.0000 0.0000
Ce: 0.0000 0.5000 0.5000
Ce: 0.5000 0.0000 0.5000
Ce: 0.5000 0.5000 0.0000
Eu: 0.0000 0.0000 0.5000
Eu: 0.0000 0.5000 0.0000
Eu: 0.5000 0.0000 0.0000
Eu: 0.5000 0.5000 0.5000
Tl: 0.2500 0.2500 0.2500
Tl: 0.2500 0.7500 0.7500
Tl: 0.7500 0.2500 0.7500
Tl: 0.7500 0.7500 0.2500
Sn: 0.2500 0.2500 0.7500
Sn: 0.2500 0.7500 0.2500
Sn: 0.7500 0.2500 0.2500
Sn: 0.7500 0.7500 0.7500

## Properties
Its formation energy is -0.4473 eV per atom. Its symmetry is F-43m, No. 216.



No. 17
The following is a PBE calculation of a relaxed RbTeSe crystal, from the Alexandria database.

Cell: 5.6210 5.6234 8.6241 Å, 98.34 97.46 90.99°
Atoms (fractional coordinates):
Rb: 0.0000 0.0000 0.0000
Rb: 0.0968 0.8933 0.4980
Te: 0.5490 0.3878 0.3350
Te: 0.6054 0.4518 0.6642
Se: 0.0626 0.4462 0.7592
Se: 0.5473 0.9287 0.2377

## Properties
The formation energy from raw total energies is -0.655 eV per atom. The offset from the most stable computed form is 0 meV per atom. Its symmetry is P1, No. 1.



No. 18
The following is a PBE calculation of a relaxed Zn2GeI2 crystal, from the Alexandria database.

Cell: 6.1479 6.1479 7.6082 Å, 90.00 90.00 90.00°
Atoms (fractional coordinates):
Zn: 0.0000 0.0000 0.1618
Zn: 0.0000 0.0000 0.8382
Zn: 0.5000 0.5000 0.3382
Zn: 0.5000 0.5000 0.6618
Ge: 0.0000 0.0000 0.5000
Ge: 0.5000 0.5000 0.0000
I: 0.0000 0.5000 0.2500
I: 0.0000 0.5000 0.7500
I: 0.5000 0.0000 0.2500
I: 0.5000 0.0000 0.7500

## Properties
The formation energy from raw total energies is 0.180 eV per atom. Its symmetry is I4/mmm, No. 139.



No. 19
The following is a PBE calculation of a relaxed YNbFe3 crystal, from the Alexandria database.

Cell: 4.5943 4.5943 4.5943 Å, 90.00 90.00 90.00°
Atoms (fractional coordinates):
Y: 0.0000 0.0000 0.0000
Nb: 0.5000 0.5000 0.5000
Fe: 0.0000 0.5000 0.5000
Fe: 0.5000 0.0000 0.5000
Fe: 0.5000 0.5000 0.0000

## Properties
Its formation energy is 0.8229 eV per atom. The offset from the most stable computed form is 0 meV per atom. Its symmetry is Pm-3m, No. 221.



No. 20
The following is a PBE calculation of a relaxed Ta2ZnHg crystal, from the Alexandria database.

Cell: 5.6698 8.6834 2.8899 Å, 90.00 90.00 90.00°
Atoms (fractional coordinates):
Ta: 0.2500 0.2500 0.0000
Ta: 0.2500 0.7500 0.0000
Ta: 0.7500 0.2500 0.0000
Ta: 0.7500 0.7500 0.0000
Zn: 0.0000 0.0000 0.5000
Zn: 0.5000 0.5000 0.5000
Hg: 0.0000 0.5000 0.5000
Hg: 0.5000 0.0000 0.5000

## Properties
Its formation energy is 0.2430 eV per atom. The offset from the most stable computed form is 109 meV per atom. Its symmetry is Cmmm, No. 65.



No. 21
The following is a PBE calculation of a relaxed GeMo crystal, from the Alexandria database.

Cell: 9.9802 9.9802 3.2108 Å, 90.00 90.00 90.00°
Atoms (fractional coordinates):
Ge: 0.1442 0.7934 0.0000
Ge: 0.2066 0.1442 0.0000
Ge: 0.2934 0.3558 0.5000
Ge: 0.3558 0.7066 0.5000
Ge: 0.6442 0.2934 0.5000
Ge: 0.7066 0.6442 0.5000
Ge: 0.7934 0.8558 0.0000
Ge: 0.8558 0.2066 0.0000
Mo: 0.0629 0.3592 0.0000
Mo: 0.1408 0.5629 0.5000
Mo: 0.3592 0.9371 0.0000
Mo: 0.4371 0.1408 0.5000
Mo: 0.5629 0.8592 0.5000
Mo: 0.6408 0.0629 0.0000
Mo: 0.8592 0.4371 0.5000
Mo: 0.9371 0.6408 0.0000

## Properties
Its formation energy is 0.2086 eV per atom. Its symmetry is I4/m, No. 87.



No. 22
The following is a PBE calculation of a relaxed HfFeAg2C crystal, from the Alexandria database.

Cell: 4.7385 4.7385 4.5051 Å, 90.00 90.00 90.00°
Atoms (fractional coordinates):
Hf: 0.0000 0.0000 0.0000
Fe: 0.0000 0.0000 0.5000
Ag: 0.0000 0.5000 0.5000
Ag: 0.5000 0.0000 0.5000
C: 0.5000 0.5000 0.0000

## Properties
Its formation energy is 1.9366 eV per atom. Its symmetry is P4/mmm, No. 123.



No. 23
The following is a PBE calculation of a relaxed MnHgRu2 crystal, from the Alexandria database.

Cell: 3.9565 3.9565 7.8922 Å, 90.00 90.00 90.00°
Atoms (fractional coordinates):
Mn: 0.0000 0.0000 0.0000
Mn: 0.5000 0.5000 0.5000
Hg: 0.0000 0.0000 0.5000
Hg: 0.5000 0.5000 0.0000
Ru: 0.0000 0.5000 0.2500
Ru: 0.0000 0.5000 0.7500
Ru: 0.5000 0.0000 0.2500
Ru: 0.5000 0.0000 0.7500

## Properties
Its formation energy is 0.4396 eV per atom. Its symmetry is I4/mmm, No. 139.